(1)
## LaCoSi2Os (PBE)

Data for crystalline LaCoSi2Os at its relaxed geometry.

```
5
Lattice="-2.049 2.049 5.089 2.049 -2.049 5.089 2.049 2.049 -5.089" Properties=species:S:1:pos:R:3 pbc="T T T"
La 0.000 0.000 0.000
Co 0.000 2.049 2.545
Si 0.000 0.000 3.720
Si 0.000 0.000 6.459
Os 2.049 0.000 2.545
```

Properties
electronic total energy: -7.5462 eV per atom

(2)
## La2CoSi2Os (PBE)

Data for crystalline La2CoSi2Os at its relaxed geometry.

```
6
Lattice="4.117 0.000 0.000 0.000 4.117 0.000 0.000 0.000 7.270" Properties=species:S:1:pos:R:3 pbc="T T T"
La 0.000 2.059 1.316
La 2.059 0.000 5.954
Co 0.000 0.000 3.635
Si 0.000 2.059 4.866
Si 2.059 0.000 2.404
Os 2.059 2.059 3.635
```

Properties
electronic total energy: -7.1895 eV per atom

(3)
## LaCo2P2 (PBE)

Data for crystalline LaCo2P2 at its relaxed geometry.

```
5
Lattice="-1.894 1.894 5.516 1.894 -1.894 5.516 1.894 1.894 -5.516" Properties=species:S:1:pos:R:3 pbc="T T T"
La 0.000 0.000 0.000
Co 1.894 0.000 2.758
Co 0.000 1.894 2.758
P 0.000 0.000 3.904
P 0.000 0.000 7.128
```

Properties
electronic total energy: -6.9951 eV per atom

(4)
## LaCoP2Pd (PBE)

Data for crystalline LaCoP2Pd at its relaxed geometry.

```
5
Lattice="-2.044 2.044 4.948 2.044 -2.044 4.948 2.044 2.044 -4.948" Properties=species:S:1:pos:R:3 pbc="T T T"
La 0.000 0.000 0.000
Co 2.044 0.000 2.474
P 0.000 0.000 3.758
P 0.000 0.000 6.138
Pd 0.000 2.044 2.474
```

Properties
electronic total energy: -6.4857 eV per atom

(5)
## LaCoPd (PBE)

Data for crystalline LaCoPd at its relaxed geometry.

```
3
Lattice="0.000 3.205 3.205 3.205 0.000 3.205 3.205 3.205 0.000" Properties=species:S:1:pos:R:3 pbc="T T T"
La 0.000 0.000 0.000
Co 4.808 4.808 4.808
Pd 1.603 1.603 1.603
```

Properties
E_form: 0.363 eV/atom
electronic total energy: -5.3718 eV per atom

(6)
## LaCoPd (PBE)

Data for crystalline LaCoPd at its relaxed geometry.

```
3
Lattice="0.000 3.282 3.282 3.282 0.000 3.282 3.282 3.282 0.000" Properties=species:S:1:pos:R:3 pbc="T T T"
La 0.000 0.000 0.000
Co 3.282 3.282 3.282
Pd 1.641 1.641 1.641
```

Properties
E_form: 0.041 eV/atom
electronic total energy: -5.6933 eV per atom

(7)
## LaCoSi2Pd (PBE)

Data for crystalline LaCoSi2Pd at its relaxed geometry.

```
5
Lattice="-2.076 2.076 4.995 2.076 -2.076 4.995 2.076 2.076 -4.995" Properties=species:S:1:pos:R:3 pbc="T T T"
La 0.000 0.000 0.000
Co 2.076 0.000 2.498
Si 0.000 0.000 3.732
Si 0.000 0.000 6.259
Pd 0.000 2.076 2.498
```

Properties
electronic total energy: -6.3941 eV per atom

(8)
## LaPm3Co (PBE)

Data for crystalline LaPm3Co at its relaxed geometry.

```
10
Lattice="-4.259 4.232 4.275 4.259 -4.232 4.275 4.259 4.232 -4.275" Properties=species:S:1:pos:R:3 pbc="T T T"
La 2.129 0.341 0.000
La 2.129 3.891 4.275
Pm 4.642 2.477 -1.774
Pm 3.876 -1.755 2.501
Pm -0.383 1.755 2.501
Pm 4.642 1.755 2.501
Pm 2.129 3.875 0.723
Pm 2.129 0.357 4.998
Co 2.129 3.287 -1.853
Co 2.129 0.945 2.423
```

Properties
E_form: -0.079 eV/atom
electronic total energy: -5.3316 eV per atom

(9)
## LaPr3Co (PBE)

Data for crystalline LaPr3Co at its relaxed geometry.

```
10
Lattice="-4.342 4.297 4.304 4.342 -4.297 4.304 4.342 4.297 -4.304" Properties=species:S:1:pos:R:3 pbc="T T T"
La 2.171 0.359 0.000
La 2.171 3.938 4.304
Pr 2.171 3.935 -0.704
Pr 2.171 0.362 3.600
Pr -0.389 2.505 1.811
Pr 4.731 2.505 1.811
Pr 0.389 6.088 1.811
Pr -0.389 1.791 6.116
Co 2.171 3.306 1.899
Co 2.171 0.991 6.204
```

Properties
E_form: -0.063 eV/atom
electronic total energy: -5.3336 eV per atom

(10)
## LaPrCo2Si4 (PBE)

Data for crystalline LaPrCo2Si4 at its relaxed geometry.

```
8
Lattice="4.087 0.000 0.000 0.000 2.105 8.248 0.000 -2.105 8.248" Properties=species:S:1:pos:R:3 pbc="T T T"
La 0.000 0.000 0.000
Pr 2.044 0.000 3.556
Co 0.000 0.000 13.025
Co 2.044 0.000 7.028
Si 0.000 0.000 5.893
Si 0.000 0.000 10.760
Si 2.044 0.000 9.317
Si 2.044 0.000 14.141
```

Properties
electronic total energy: -6.4378 eV per atom
energy relative to the lowest polymorph listed for this composition: 0 meV/atom

(11)
## LaPrCo4Si2 (PBE)

Data for crystalline LaPrCo4Si2 at its relaxed geometry.

```
8
Lattice="4.003 0.000 0.000 -2.002 3.467 0.000 0.000 0.000 9.847" Properties=species:S:1:pos:R:3 pbc="T T T"
La 0.000 0.000 0.000
Pr 0.000 2.311 4.924
Co 0.000 0.000 2.829
Co 0.000 0.000 7.018
Co 0.000 2.311 2.100
Co 0.000 2.311 7.747
Si 2.002 1.156 2.485
Si 2.002 1.156 7.362
```

Properties
electronic total energy: -6.5729 eV per atom

(12)
## LaPr2Co4Si4 (PBE)

Data for crystalline LaPr2Co4Si4 at its relaxed geometry.

```
11
Lattice="-2.025 2.045 11.863 2.025 -2.045 11.863 2.025 2.045 -11.863" Properties=species:S:1:pos:R:3 pbc="T T T"
La 0.000 0.000 0.000
Pr 2.025 0.000 3.516
Pr 0.000 2.045 8.346
Co 0.000 0.000 5.918
Co 2.025 0.000 9.478
Co 0.000 2.045 2.385
Co 0.000 0.000 17.808
Si 2.025 0.000 7.095
Si 0.000 0.000 10.639
Si 0.000 0.000 13.087
Si 0.000 2.045 4.768
```

Properties
electronic total energy: -6.4960 eV per atom

(13)
## LaPrCo2Si4 (PBE)

Data for crystalline LaPrCo2Si4 at its relaxed geometry.

```
8
Lattice="4.337 0.000 0.000 0.000 4.063 0.000 -1.902 0.000 7.966" Properties=species:S:1:pos:R:3 pbc="T T T"
La 0.000 0.000 0.000
Pr 2.338 2.031 4.715
Co 0.391 0.000 3.267
Co 1.942 2.031 1.459
Si -0.196 2.031 2.316
Si 0.199 0.000 5.591
Si 0.232 2.031 7.072
Si 2.529 0.000 2.418
```

Properties
electronic total energy: -6.4281 eV per atom
energy relative to the lowest polymorph listed for this composition: 10 meV/atom

(14)
## LaPrCo2Sn4 (PBE)

Data for crystalline LaPrCo2Sn4 at its relaxed geometry.

```
8
Lattice="4.566 0.000 0.000 0.000 2.254 9.106 0.000 -2.254 9.106" Properties=species:S:1:pos:R:3 pbc="T T T"
La 0.000 0.000 0.000
Pr 2.283 0.000 14.169
Co 0.000 0.000 3.758
Co 2.283 0.000 10.405
Sn 0.000 0.000 6.191
Sn 0.000 0.000 11.636
Sn 2.283 0.000 2.549
Sn 2.283 0.000 7.956
```

Properties
electronic total energy: -5.4963 eV per atom

(15)
## La2CoPt (PBE)

Data for crystalline La2CoPt at its relaxed geometry.

```
4
Lattice="4.269 0.000 0.000 0.000 1.995 5.546 0.000 -1.995 5.546" Properties=species:S:1:pos:R:3 pbc="T T T"
La 0.000 0.000 0.000
La 2.135 0.000 3.114
Co 2.135 0.000 6.100
Pt 0.000 0.000 7.929
```

Properties
E_form: -0.603 eV/atom
electronic total energy: -6.3551 eV per atom

(16)
## RbLaCo (PBE)

Data for crystalline RbLaCo at its relaxed geometry.

```
3
Lattice="0.000 3.550 3.550 3.550 0.000 3.550 3.550 3.550 0.000" Properties=species:S:1:pos:R:3 pbc="T T T"
Rb 0.000 0.000 0.000
La 3.550 3.550 3.550
Co 5.326 5.326 5.326
```

Properties
electronic total energy: -3.4916 eV per atom
energy relative to the lowest polymorph listed for this composition: 0 meV/atom

(17)
## RbLaCoS3 (PBE)

Data for crystalline RbLaCoS3 at its relaxed geometry.

```
12
Lattice="2.053 -7.271 0.000 2.053 7.271 0.000 0.000 0.000 11.093" Properties=species:S:1:pos:R:3 pbc="T T T"
Rb 2.053 3.783 8.319
Rb 2.053 -3.783 2.773
La 2.053 0.000 0.000
La 2.053 0.000 5.546
Co 2.053 6.783 2.773
Co 2.053 -6.783 8.319
S 2.053 5.513 0.912
S 2.053 5.513 4.635
S 2.053 0.778 2.773
S 2.053 -0.778 8.319
S 2.053 -5.513 6.458
S 2.053 -5.513 10.181
```

Properties
electronic total energy: -5.5154 eV per atom
energy relative to the lowest polymorph listed for this composition: 2 meV/atom

(18)
## RbLaCoS3 (PBE)

Data for crystalline RbLaCoS3 at its relaxed geometry.

```
24
Lattice="11.160 0.000 0.000 0.000 4.121 0.000 0.000 0.000 14.377" Properties=species:S:1:pos:R:3 pbc="T T T"
Rb 2.335 1.030 0.152
Rb 3.245 3.090 7.340
Rb 7.915 1.030 7.037
Rb 8.825 3.090 14.225
La 0.137 3.090 3.862
La 5.443 1.030 11.050
La 5.717 3.090 3.326
La 11.023 1.030 10.515
Co 2.619 3.090 11.280
Co 2.960 1.030 4.092
Co 8.199 3.090 10.285
Co 8.540 1.030 3.096
S 0.636 3.090 12.354
S 1.210 1.030 5.515
S 2.718 1.030 10.042
S 2.861 3.090 2.854
S 4.370 3.090 12.704
S 4.944 1.030 5.166
S 6.215 3.090 9.211
S 6.790 1.030 1.673
S 8.298 1.030 11.523
S 8.441 3.090 4.334
S 9.949 3.090 8.861
S 10.524 1.030 2.022
```

Properties
electronic total energy: -5.5178 eV per atom
energy relative to the lowest polymorph listed for this composition: 0 meV/atom

(19)
## RbLaCoSe3 (PBE)

Data for crystalline RbLaCoSe3 at its relaxed geometry.

```
12
Lattice="2.130 -7.588 0.000 2.130 7.588 0.000 0.000 0.000 11.436" Properties=species:S:1:pos:R:3 pbc="T T T"
Rb 2.130 3.932 8.577
Rb 2.130 -3.932 2.859
La 2.130 0.000 0.000
La 2.130 0.000 5.718
Co 2.130 7.076 2.859
Co 2.130 -7.076 8.577
Se 2.130 5.697 0.903
Se 2.130 5.697 4.816
Se 2.130 0.858 2.859
Se 2.130 -0.858 8.577
Se 2.130 -5.697 6.621
Se 2.130 -5.697 10.534
```

Properties
electronic total energy: -5.0940 eV per atom

(20)
## RbLaCoSe3 (PBE)

Data for crystalline RbLaCoSe3 at its relaxed geometry.

```
24
Lattice="11.513 0.000 0.000 0.000 4.269 0.000 0.000 0.000 14.857" Properties=species:S:1:pos:R:3 pbc="T T T"
Rb 2.416 1.067 0.142
Rb 3.340 3.202 7.571
Rb 8.173 1.067 7.287
Rb 9.097 3.202 14.715
La 0.146 3.202 3.986
La 5.610 1.067 11.415
La 5.903 3.202 3.442
La 11.367 1.067 10.871
Co 2.714 3.202 11.658
Co 3.042 1.067 4.229
Co 8.471 3.202 10.628
Co 8.799 1.067 3.200
Se 0.632 3.202 12.826
Se 1.210 1.067 5.769
Se 2.807 1.067 10.311
Se 2.950 3.202 2.882
Se 4.547 3.202 13.198
Se 5.125 1.067 5.397
Se 6.388 3.202 9.460
Se 6.966 1.067 1.660
Se 8.563 1.067 11.975
Se 8.706 3.202 4.546
Se 10.303 3.202 9.088
Se 10.881 1.067 2.031
```

Properties
electronic total energy: -5.0936 eV per atom